First-principles (PBE) data for a relaxed structure of Tb2Ho8Sc, as listed in Alexandria.

abc: 4.953 7.849 9.283
angles: 104.73 105.47 90.00
Positions (direct):
Tb 0.774 0.364 0.547
Tb 0.226 0.636 0.453
Ho 0.410 0.550 0.820
Sc 0.500 0.000 0.000
Ho 0.955 0.270 0.911
Ho 0.681 0.910 0.361
Ho 0.319 0.090 0.639
Ho 0.045 0.730 0.089
Ho 0.590 0.450 0.180
Ho 0.866 0.822 0.731
Ho 0.134 0.178 0.269

Computed properties:
The value obtained for the formation energy is 0.0284 eV/atom. Its total energy is -4.718 eV per atom. As for the crystal system: monoclinic. The space group is C2/m (12). The spin magnetization comes out at 0.0 μB/cell.

---

First-principles (PBE) data for a relaxed structure of K4AsCl, as listed in Alexandria.

abc: 7.751 8.156 9.588
angles: 111.81 110.34 97.65
Positions (direct):
K 0.246 0.370 0.427
As 0.620 0.370 0.739
K 0.992 0.254 0.953
Cl 0.833 0.083 0.166
As 0.380 0.630 0.261
K 0.754 0.630 0.573
K 0.319 0.943 0.573
K 0.539 0.301 0.047
Cl 0.167 0.917 0.834
K 0.681 0.057 0.427
K 0.461 0.699 0.953
K 0.008 0.746 0.047

Computed properties:
Its total energy is -2.666 eV per atom. The calculation puts the formation energy without anion corrections at -0.851 eV per atom. As for the crystal system: monoclinic. The space group is C2/c (15). The spin magnetization comes out at 0.0 μB/cell.